(1)
! PBE NaVHg2Se4, optimized geometry; values from VASP
! space group = Fmm2 (42)
! formation energy without anion corrections = -0.46 eV/atom
&SYSTEM
  ibrav = 0, nat = 8, ntyp = 4
/
ATOMIC_SPECIES
V 50.94 V.upf
Se 78.96 Se.upf
Hg 200.59 Hg.upf
Na 22.99 Na.upf
CELL_PARAMETERS angstrom
6.3825 0.2618 0.0000
-0.2685 6.3826 0.0001
-3.0570 -3.3221 5.7804
ATOMIC_POSITIONS crystal
V 0.4999 0.4999 0.9998
Se 0.6021 0.6021 0.7649
Se 0.1628 0.1628 0.7649
Hg 0.2501 0.7500 0.5001
Hg 0.7501 0.2501 0.5001
Se 0.8368 0.3981 0.2349
Se 0.3981 0.8368 0.2349
Na 0.0005 0.0005 0.0009

(2)
! PBE CaBe3, optimized geometry; values from VASP
! offset from the most stable computed form = 736 meV per atom
! space group = Pm-3m (221)
&SYSTEM
  ibrav = 0, nat = 4, ntyp = 2
/
ATOMIC_SPECIES
Ca 40.08 Ca.upf
Be 9.01 Be.upf
CELL_PARAMETERS angstrom
3.9859 0.0000 0.0000
0.0000 3.9859 0.0000
0.0000 0.0000 3.9859
ATOMIC_POSITIONS crystal
Ca 0.0000 0.0000 0.0000
Be 0.0000 0.5000 0.5000
Be 0.5000 0.5000 0.0000
Be 0.5000 0.0000 0.5000

(3)
! PBE MnIn, optimized geometry; values from VASP
! space group = Cmcm (63)
&SYSTEM
  ibrav = 0, nat = 4, ntyp = 2
/
ATOMIC_SPECIES
In 114.82 In.upf
Mn 54.94 Mn.upf
CELL_PARAMETERS angstrom
-2.4087 4.2829 -2.9811
3.4635 -4.5842 0.1469
-3.4298 -2.6232 -0.9975
ATOMIC_POSITIONS crystal
In 0.4135 0.5865 0.2500
In 0.5865 0.4135 0.7500
Mn 0.1700 0.8300 0.2500
Mn 0.8300 0.1700 0.7500

(4)
! PBE In6BiPd12, optimized geometry; values from VASP
! space group = R-3 (148)
&SYSTEM
  ibrav = 0, nat = 19, ntyp = 3
/
ATOMIC_SPECIES
Bi 208.98 Bi.upf
Pd 106.42 Pd.upf
In 114.82 In.upf
CELL_PARAMETERS angstrom
-4.3641 -5.8437 1.7995
7.0886 -2.4858 0.0620
-0.6063 4.9671 5.6029
ATOMIC_POSITIONS crystal
Bi 0.0000 0.0000 0.0000
Pd 0.1815 0.4728 0.5899
Pd 0.2688 0.8348 0.1304
Pd 0.8696 0.7312 0.1652
Pd 0.7312 0.1652 0.8696
Pd 0.4101 0.8185 0.5272
Pd 0.1652 0.8696 0.7312
Pd 0.8185 0.5272 0.4101
Pd 0.1304 0.2688 0.8348
In 0.9098 0.5111 0.7829
In 0.5111 0.7829 0.9098
In 0.0902 0.4889 0.2171
Pd 0.5272 0.4101 0.8185
In 0.2171 0.0902 0.4889
In 0.4889 0.2171 0.0902
Pd 0.4728 0.5899 0.1815
In 0.7829 0.9098 0.5111
Pd 0.5899 0.1815 0.4728
Pd 0.8348 0.1304 0.2688

(5)
! PBE Zr4Co3, optimized geometry; values from VASP
! offset from the most stable computed form = 94 meV per atom
! space group = P6/mmm (191)
&SYSTEM
  ibrav = 0, nat = 7, ntyp = 2
/
ATOMIC_SPECIES
Zr 91.22 Zr.upf
Co 58.93 Co.upf
CELL_PARAMETERS angstrom
2.5340 -4.3890 0.0000
2.5340 4.3890 0.0000
0.0000 0.0000 5.3669
ATOMIC_POSITIONS crystal
Zr 0.0000 0.0000 0.2426
Zr 0.6667 0.3333 0.5000
Co 0.5000 0.0000 0.0000
Zr 0.0000 0.0000 0.7574
Co 0.5000 0.5000 0.0000
Zr 0.3333 0.6667 0.5000
Co 0.0000 0.5000 0.0000

(6)
! PBE PrSc3Sb2, optimized geometry; values from VASP
! space group = C2/m (12)
! formation energy without anion corrections = -0.67 eV/atom
&SYSTEM
  ibrav = 0, nat = 12, ntyp = 3
/
ATOMIC_SPECIES
Pr 140.91 Pr.upf
Sc 44.96 Sc.upf
Sb 121.76 Sb.upf
CELL_PARAMETERS angstrom
-0.6700 1.2867 4.0943
-9.2218 -2.6230 -2.9890
5.9042 -5.9197 2.8266
ATOMIC_POSITIONS crystal
Pr 0.8891 0.7782 0.9093
Sc 0.3087 0.6175 0.5110
Sc 0.6913 0.3825 0.4890
Sb 0.5135 0.0270 0.2035
Pr 0.1109 0.2218 0.0907
Sc 0.9325 0.8650 0.5416
Sb 0.2439 0.4879 0.7729
Sb 0.7561 0.5121 0.2271
Sc 0.3540 0.7080 0.1967
Sb 0.4865 0.9730 0.7965
Sc 0.6460 0.2920 0.8033
Sc 0.0675 0.1350 0.4584

| no. | magnetization (μB per atom) | V (A^3/atom) | energy (eV per atom) |
| --- | --- | --- | --- |
| 1 | 0.236 | 29.5 | -3.579 |
| 2 | 0.000 | 15.8 | -2.498 |
| 3 | 1.668 | 18.7 | -5.628 |
| 4 | 0.000 | 18.7 | -4.692 |
| 5 | 0.297 | 17.1 | -8.042 |
| 6 | 0.059 | 26.2 | -6.008 |